(1)
## HoTmCoIr (PBE)

Data for an optimized crystal structure of HoTmCoIr.

Computed properties:
energy of formation from the pure elements = -0.57 eV/atom
final energy = -6.83 eV/atom
N(E_F) = 1.53 states/eV/f.u.

Cell: 4.752 4.752 4.752 Å, 60.00 60.00 60.00°
Element x y z (fractional)
Co (0.000, 0.000, 0.000)
Ir (0.500, 0.500, 0.500)
Tm (0.250, 0.250, 0.250)
Ho (0.750, 0.750, 0.750)

***

(2)
## MoPtRh2 (PBE)

Data for an optimized crystal structure of MoPtRh2.

Computed properties:
energy of formation from the pure elements = -0.26 eV/atom
final energy = -8.15 eV/atom
N(E_F) = 3.97 states/eV/f.u.

Cell: 4.430 5.561 5.561 Å, 120.27 90.00 90.00°
Element x y z (fractional)
Mo (0.250, 0.770, 0.106)
Mo (0.750, 0.106, 0.770)
Pt (0.250, 0.774, 0.603)
Pt (0.750, 0.603, 0.774)
Rh (0.250, 0.263, 0.600)
Rh (0.750, 0.600, 0.263)
Rh (0.250, 0.267, 0.103)
Rh (0.750, 0.103, 0.267)

***

(3)
## Ag2HgCl (PBE)

Data for an optimized crystal structure of Ag2HgCl.

Computed properties:
uncorrected formation energy = -0.149 eV/atom
final energy = -2.11 eV/atom
N(E_F) = 0.81 states/eV/f.u.

Cell: 5.229 5.229 8.328 Å, 52.65 52.65 37.58°
Element x y z (fractional)
Hg (0.250, 0.250, 0.250)
Ag (0.067, 0.067, 0.079)
Ag (0.433, 0.433, 0.421)
Cl (0.750, 0.750, 0.750)

***

(4)
## Tb2Pm3In6 (PBE)

Data for an optimized crystal structure of Tb2Pm3In6.

Computed properties:
energy of formation from the pure elements = 0.04 eV/atom
final energy = -3.59 eV/atom
N(E_F) = 14.58 states/eV/f.u.

Cell: 5.864 5.864 11.983 Å, 104.16 104.16 90.00°
Element x y z (fractional)
Tb (0.425, 0.425, 0.851)
Tb (0.575, 0.575, 0.149)
Pm (0.000, 0.000, 0.000)
Pm (0.852, 0.852, 0.704)
Pm (0.148, 0.148, 0.296)
In (0.070, 0.570, 0.140)
In (0.570, 0.070, 0.140)
In (0.930, 0.430, 0.860)
In (0.430, 0.930, 0.860)
In (0.712, 0.712, 0.424)
In (0.288, 0.288, 0.576)

***

(5)
## CeMg2ReO8 (PBE)

Data for an optimized crystal structure of CeMg2ReO8.

Computed properties:
uncorrected formation energy = -2.239 eV/atom
final energy = -7.34 eV/atom
N(E_F) = 4.39 states/eV/f.u.

Cell: 4.726 4.726 6.622 Å, 90.00 90.00 91.98°
Element x y z (fractional)
Ce (0.000, 0.000, 0.500)
Mg (0.500, 0.500, 0.764)
Mg (0.500, 0.500, 0.236)
Re (0.000, 0.000, 0.000)
O (0.191, 0.808, 0.209)
O (0.714, 0.714, 0.000)
O (0.809, 0.192, 0.209)
O (0.809, 0.192, 0.791)
O (0.286, 0.286, 0.000)
O (0.191, 0.808, 0.791)
O (0.684, 0.685, 0.500)
O (0.316, 0.315, 0.500)

***

(6)
## V2MoAuN (PBE)

Data for an optimized crystal structure of V2MoAuN.

Computed properties:
uncorrected formation energy = -0.394 eV/atom
final energy = -8.53 eV/atom
N(E_F) = 5.36 states/eV/f.u.

Cell: 4.004 4.004 4.105 Å, 90.00 90.00 90.00°
Element x y z (fractional)
Mo (0.000, 0.000, 0.500)
N (0.000, 0.000, 0.000)
Au (0.500, 0.500, 0.500)
V (0.000, 0.500, 0.000)
V (0.500, 0.000, 0.000)

***

(7)
## AcSm2Ga2Pt7 (PBE)

Data for an optimized crystal structure of AcSm2Ga2Pt7.

Computed properties:
energy of formation from the pure elements = -0.88 eV/atom
final energy = -6.03 eV/atom
N(E_F) = 3.83 states/eV/f.u.

Cell: 4.168 4.168 14.371 Å, 83.39 83.39 89.12°
Element x y z (fractional)
Ac (0.000, 0.000, 0.000)
Sm (0.878, 0.878, 0.361)
Sm (0.122, 0.122, 0.639)
Ga (0.602, 0.602, 0.738)
Ga (0.398, 0.398, 0.262)
Pt (0.500, 0.500, 0.000)
Pt (0.367, 0.367, 0.433)
Pt (0.633, 0.633, 0.567)
Pt (0.935, 0.436, 0.165)
Pt (0.436, 0.935, 0.165)
Pt (0.564, 0.065, 0.835)
Pt (0.065, 0.564, 0.835)

***

(8)
## Sr2MgTaMn (PBE)

Data for an optimized crystal structure of Sr2MgTaMn.

Computed properties:
energy of formation from the pure elements = 1.62 eV/atom
final energy = -3.57 eV/atom
N(E_F) = 12.51 states/eV/f.u.

Cell: 5.279 5.096 5.279 Å, 90.00 90.00 90.00°
Element x y z (fractional)
Sr (0.000, 0.000, 0.500)
Sr (0.500, 0.000, 0.000)
Mg (0.000, 0.500, 0.000)
Mn (0.000, 0.000, 0.000)
Ta (0.500, 0.500, 0.500)

***

(9)
## AlTl2As (PBE)

Data for an optimized crystal structure of AlTl2As.

Computed properties:
energy of formation from the pure elements = 0.26 eV/atom
final energy = -3.02 eV/atom
N(E_F) = 1.28 states/eV/f.u.

Cell: 5.921 5.921 3.210 Å, 88.79 88.79 117.10°
Element x y z (fractional)
Tl (0.000, 0.000, 0.000)
Tl (0.500, 0.500, 0.000)
As (0.000, 0.500, 0.500)
Al (0.500, 0.000, 0.500)

***

(10)
## Tm12In3Bi5 (PBE)

Data for an optimized crystal structure of Tm12In3Bi5.

Computed properties:
energy of formation from the pure elements = -0.10 eV/atom
final energy = -4.16 eV/atom
N(E_F) = 15.25 states/eV/f.u.

Cell: 15.497 15.497 15.497 Å, 109.47 109.47 109.47°
Element x y z (fractional)
In (0.750, 0.375, 0.125)
In (0.875, 0.750, 0.125)
In (0.375, 0.750, 0.625)
In (0.250, 0.125, 0.375)
In (0.875, 0.125, 0.250)
In (0.375, 0.625, 0.250)
In (0.625, 0.375, 0.750)
In (0.125, 0.875, 0.750)
In (0.750, 0.875, 0.625)
In (0.625, 0.250, 0.375)
In (0.125, 0.250, 0.875)
In (0.250, 0.625, 0.875)
Bi (0.125, 0.375, 0.250)
Bi (0.000, 0.500, 0.000)
Bi (0.000, 0.000, 0.000)
Bi (0.375, 0.250, 0.125)
Bi (0.500, 0.000, 0.500)
Bi (0.500, 0.500, 0.000)
Bi (0.125, 0.750, 0.375)
Bi (0.750, 0.125, 0.875)
Bi (0.750, 0.625, 0.375)
Bi (0.375, 0.125, 0.750)
Bi (0.625, 0.875, 0.250)
Bi (0.500, 0.500, 0.500)
Bi (0.500, 0.000, 0.000)
Bi (0.000, 0.000, 0.500)
Bi (0.250, 0.375, 0.625)
Bi (0.250, 0.875, 0.125)
Bi (0.000, 0.500, 0.500)
Bi (0.875, 0.250, 0.625)
Bi (0.625, 0.750, 0.875)
Bi (0.875, 0.625, 0.750)
Tm (0.727, 0.142, 0.062)
Tm (0.334, 0.562, 0.420)
Tm (0.938, 0.358, 0.273)
Tm (0.562, 0.227, 0.142)
Tm (0.585, 0.727, 0.666)
Tm (0.938, 0.580, 0.166)
Tm (0.334, 0.773, 0.415)
Tm (0.080, 0.915, 0.142)
Tm (0.580, 0.938, 0.666)
Tm (0.727, 0.585, 0.166)
Tm (0.773, 0.438, 0.358)
Tm (0.834, 0.920, 0.062)
Tm (0.142, 0.727, 0.562)
Tm (0.358, 0.420, 0.085)
Tm (0.085, 0.920, 0.358)
Tm (0.415, 0.142, 0.580)
Tm (0.085, 0.166, 0.227)
Tm (0.438, 0.666, 0.080)
Tm (0.834, 0.915, 0.273)
Tm (0.142, 0.415, 0.080)
Tm (0.358, 0.938, 0.773)
Tm (0.580, 0.642, 0.415)
Tm (0.920, 0.834, 0.562)
Tm (0.773, 0.334, 0.915)
Tm (0.420, 0.358, 0.585)
Tm (0.080, 0.166, 0.438)
Tm (0.227, 0.666, 0.085)
Tm (0.166, 0.085, 0.727)
Tm (0.642, 0.062, 0.227)
Tm (0.858, 0.585, 0.920)
Tm (0.562, 0.334, 0.920)
Tm (0.585, 0.858, 0.420)
Tm (0.915, 0.834, 0.773)
Tm (0.915, 0.080, 0.642)
Tm (0.858, 0.273, 0.438)
Tm (0.166, 0.080, 0.938)
Tm (0.642, 0.580, 0.915)
Tm (0.420, 0.062, 0.334)
Tm (0.273, 0.415, 0.834)
Tm (0.227, 0.562, 0.642)
Tm (0.920, 0.085, 0.858)
Tm (0.666, 0.227, 0.585)
Tm (0.438, 0.773, 0.858)
Tm (0.062, 0.420, 0.834)
Tm (0.415, 0.273, 0.334)
Tm (0.062, 0.642, 0.727)
Tm (0.666, 0.438, 0.580)
Tm (0.273, 0.858, 0.938)

***

(11)
## MgCd3Pd12 (PBE)

Data for an optimized crystal structure of MgCd3Pd12.

Computed properties:
energy of formation from the pure elements = -0.29 eV/atom
final energy = -4.46 eV/atom
N(E_F) = 24.22 states/eV/f.u.

Cell: 4.024 4.024 15.994 Å, 90.00 90.00 90.00°
Element x y z (fractional)
Mg (0.000, 0.000, 0.000)
Cd (0.000, 0.000, 0.248)
Cd (0.000, 0.000, 0.500)
Cd (0.000, 0.000, 0.752)
Pd (0.500, 0.500, 0.000)
Pd (0.500, 0.500, 0.247)
Pd (0.500, 0.500, 0.500)
Pd (0.500, 0.500, 0.753)
Pd (0.500, 0.000, 0.121)
Pd (0.500, 0.000, 0.374)
Pd (0.500, 0.000, 0.626)
Pd (0.500, 0.000, 0.879)
Pd (0.000, 0.500, 0.121)
Pd (0.000, 0.500, 0.374)
Pd (0.000, 0.500, 0.626)
Pd (0.000, 0.500, 0.879)

***

(12)
## GdPu2Pb (PBE)

Data for an optimized crystal structure of GdPu2Pb.

Computed properties:
energy of formation from the pure elements = 0.27 eV/atom
final energy = -11.35 eV/atom
N(E_F) = 17.43 states/eV/f.u.

Cell: 3.412 3.412 12.431 Å, 82.11 82.11 60.00°
Element x y z (fractional)
Pb (0.000, 0.000, 0.000)
Gd (0.500, 0.500, 0.500)
Pu (0.088, 0.088, 0.735)
Pu (0.912, 0.912, 0.265)

***

(13)
## Ga2HgSeCl (PBE)

Data for an optimized crystal structure of Ga2HgSeCl.

Computed properties:
uncorrected formation energy = 0.218 eV/atom
final energy = -2.12 eV/atom
N(E_F) = 2.45 states/eV/f.u.

Cell: 5.427 5.410 5.427 Å, 90.00 90.00 90.00°
Element x y z (fractional)
Ga (0.000, 0.000, 0.500)
Ga (0.500, 0.000, 0.000)
Hg (0.000, 0.500, 0.000)
Se (0.500, 0.500, 0.500)
Cl (0.000, 0.000, 0.000)

***

(14)
## Th3Al5S12 (PBE)

Data for an optimized crystal structure of Th3Al5S12.

Computed properties:
uncorrected formation energy = -1.375 eV/atom
final energy = -5.90 eV/atom
N(E_F) = 6.66 states/eV/f.u.

Cell: 13.054 13.054 13.054 Å, 109.47 109.47 109.47°
Element x y z (fractional)
S (0.707, 0.120, 0.028)
S (0.321, 0.528, 0.409)
S (0.972, 0.380, 0.293)
S (0.528, 0.207, 0.120)
S (0.588, 0.707, 0.679)
S (0.972, 0.591, 0.179)
S (0.321, 0.793, 0.412)
S (0.091, 0.912, 0.120)
S (0.591, 0.972, 0.679)
S (0.707, 0.588, 0.179)
S (0.793, 0.472, 0.380)
S (0.821, 0.909, 0.028)
S (0.120, 0.707, 0.528)
S (0.380, 0.409, 0.088)
S (0.088, 0.909, 0.380)
S (0.412, 0.120, 0.591)
S (0.088, 0.179, 0.207)
S (0.472, 0.679, 0.091)
S (0.821, 0.912, 0.293)
S (0.120, 0.412, 0.091)
S (0.380, 0.972, 0.793)
S (0.591, 0.620, 0.412)
S (0.909, 0.821, 0.528)
S (0.793, 0.321, 0.912)
S (0.409, 0.380, 0.588)
S (0.091, 0.179, 0.472)
S (0.207, 0.679, 0.088)
S (0.179, 0.088, 0.707)
S (0.620, 0.028, 0.207)
S (0.880, 0.588, 0.909)
S (0.528, 0.321, 0.909)
S (0.588, 0.880, 0.409)
S (0.912, 0.821, 0.793)
S (0.912, 0.091, 0.620)
S (0.880, 0.293, 0.472)
S (0.179, 0.091, 0.972)
S (0.620, 0.591, 0.912)
S (0.409, 0.028, 0.321)
S (0.293, 0.412, 0.821)
S (0.207, 0.528, 0.620)
S (0.909, 0.088, 0.880)
S (0.679, 0.207, 0.588)
S (0.472, 0.793, 0.880)
S (0.028, 0.409, 0.821)
S (0.412, 0.293, 0.321)
S (0.028, 0.620, 0.707)
S (0.679, 0.472, 0.591)
S (0.293, 0.880, 0.972)
Al (0.125, 0.375, 0.250)
Al (0.000, 0.500, 0.000)
Al (0.000, 0.000, 0.000)
Al (0.375, 0.250, 0.125)
Al (0.500, 0.000, 0.500)
Al (0.500, 0.500, 0.000)
Al (0.125, 0.750, 0.375)
Al (0.750, 0.125, 0.875)
Al (0.750, 0.625, 0.375)
Al (0.375, 0.125, 0.750)
Al (0.625, 0.875, 0.250)
Al (0.500, 0.500, 0.500)
Al (0.500, 0.000, 0.000)
Al (0.000, 0.000, 0.500)
Al (0.250, 0.375, 0.625)
Al (0.250, 0.875, 0.125)
Al (0.000, 0.500, 0.500)
Al (0.875, 0.250, 0.625)
Al (0.625, 0.750, 0.875)
Al (0.875, 0.625, 0.750)
Th (0.750, 0.375, 0.125)
Th (0.875, 0.750, 0.125)
Th (0.375, 0.750, 0.625)
Th (0.250, 0.125, 0.375)
Th (0.875, 0.125, 0.250)
Th (0.375, 0.625, 0.250)
Th (0.625, 0.375, 0.750)
Th (0.125, 0.875, 0.750)
Th (0.750, 0.875, 0.625)
Th (0.625, 0.250, 0.375)
Th (0.125, 0.250, 0.875)
Th (0.250, 0.625, 0.875)

***

(15)
## BeSiGe2W (PBE)

Data for an optimized crystal structure of BeSiGe2W.

Computed properties:
uncorrected formation energy = 0.933 eV/atom
final energy = -5.33 eV/atom
N(E_F) = 0.19 states/eV/f.u.

Cell: 4.905 4.776 4.905 Å, 90.00 90.00 90.00°
Element x y z (fractional)
Be (0.500, 0.500, 0.500)
Ge (0.000, 0.000, 0.500)
Ge (0.500, 0.000, 0.000)
Si (0.000, 0.500, 0.000)
W (0.000, 0.000, 0.000)

***

(16)
## U2BiTe (PBE)

Data for an optimized crystal structure of U2BiTe.

Computed properties:
uncorrected formation energy = -0.165 eV/atom
final energy = -7.56 eV/atom
N(E_F) = 9.17 states/eV/f.u.

Cell: 5.359 5.359 5.359 Å, 60.00 60.00 60.00°
Element x y z (fractional)
Te (0.500, 0.500, 0.500)
U (0.250, 0.250, 0.250)
U (0.750, 0.750, 0.750)
Bi (0.000, 0.000, 0.000)

***

(17)
## TbCeSi2Pt2 (PBE)

Data for an optimized crystal structure of TbCeSi2Pt2.

Computed properties:
uncorrected formation energy = -1.133 eV/atom
final energy = -6.72 eV/atom
N(E_F) = 6.16 states/eV/f.u.

Cell: 4.218 4.218 7.948 Å, 90.00 90.00 120.00°
Element x y z (fractional)
Tb (0.000, 0.000, 0.500)
Ce (0.000, 0.000, 0.000)
Si (0.667, 0.333, 0.754)
Si (0.333, 0.667, 0.246)
Pt (0.667, 0.333, 0.260)
Pt (0.333, 0.667, 0.740)

***

(18)
## Sm2Th5Sc5 (PBE)

Data for an optimized crystal structure of Sm2Th5Sc5.

Computed properties:
energy of formation from the pure elements = 0.05 eV/atom
final energy = -6.47 eV/atom
N(E_F) = 18.09 states/eV/f.u.

Cell: 4.851 7.762 10.364 Å, 72.91 76.46 71.79°
Element x y z (fractional)
Sm (0.918, 0.413, 0.751)
Sm (0.082, 0.587, 0.249)
Th (0.833, 0.835, 0.498)
Th (0.249, 0.750, 0.752)
Th (0.751, 0.250, 0.248)
Th (0.167, 0.165, 0.502)
Th (0.000, 0.000, 0.000)
Sc (0.500, 0.500, 0.500)
Sc (0.333, 0.331, 0.003)
Sc (0.415, 0.924, 0.246)
Sc (0.585, 0.076, 0.754)
Sc (0.667, 0.669, 0.997)